# 1
DFT (GGA-PBE) results for an optimized crystal structure of U2Al3Os.

Values from the calculation:
- formation energy (eV/atom) = -0.25
- M_tot (μB/atom) = 0.865

abc: 5.342 5.342 8.871
angles: 90.00 90.00 120.00
Each line ends with the local moment (μB).
Fractional coordinates of all 12 atoms:
Os 0.000 0.000 0.500  -0.10
Os 0.000 0.000 0.000  -0.10
Al 0.331 0.166 0.250  -0.01
Al 0.669 0.834 0.750  -0.01
Al 0.166 0.331 0.750  -0.01
Al 0.834 0.166 0.250  -0.01
Al 0.166 0.834 0.750  -0.01
Al 0.834 0.669 0.250  -0.01
U 0.333 0.667 0.052  2.32
U 0.667 0.333 0.948  2.32
U 0.333 0.667 0.448  2.32
U 0.667 0.333 0.552  2.32

***

# 2
DFT (GGA-PBE) results for an optimized crystal structure of UAlOs.

Values from the calculation:
- formation energy (eV/atom) = -0.29
- M_tot (μB/atom) = 0.000

abc: 3.177 6.098 5.930
angles: 108.43 105.54 90.00
Fractional coordinates of all 6 atoms:
Al 0.134 0.825 0.268
Al 0.866 0.175 0.732
U 0.172 0.348 0.343
U 0.828 0.652 0.657
Os 0.500 0.000 0.000
Os 0.500 0.500 0.000

***

# 3
DFT (GGA-PBE) results for an optimized crystal structure of U2AlOs.

Values from the calculation:
- formation energy (eV/atom) = 0.35
- M_tot (μB/atom) = 0.063

abc: 2.912 2.912 10.795
angles: 82.25 82.25 60.00
Each line ends with the local moment (μB).
Fractional coordinates of all 4 atoms:
Os 0.500 0.500 0.500  -0.01
U 0.093 0.093 0.722  0.13
U 0.907 0.907 0.278  0.13
Al 0.000 0.000 0.000  0.00

***

# 4
DFT (GGA-PBE) results for an optimized crystal structure of UAlZnOs.

Values from the calculation:
- formation energy (eV/atom) = 0.03
- M_tot (μB/atom) = 0.349

abc: 4.636 4.636 4.636
angles: 60.00 60.00 60.00
Each line ends with the local moment (μB).
Fractional coordinates of all 4 atoms:
Zn 0.500 0.500 0.500  0.01
Os 0.000 0.000 0.000  -0.10
Al 0.250 0.250 0.250  0.01
U 0.750 0.750 0.750  1.37

***

# 5
DFT (GGA-PBE) results for an optimized crystal structure of Al2V2Os.

Values from the calculation:
- formation energy (eV/atom) = -0.06
- M_tot (μB/atom) = 0.000

abc: 6.674 6.674 3.152
angles: 90.00 90.00 90.00
Fractional coordinates of all 10 atoms:
V 0.670 0.830 0.500
V 0.330 0.170 0.500
V 0.170 0.670 0.500
V 0.830 0.330 0.500
Al 0.131 0.369 0.000
Al 0.631 0.131 0.000
Al 0.369 0.869 0.000
Al 0.869 0.631 0.000
Os 0.500 0.500 0.000
Os 0.000 0.000 0.000

***

# 6
DFT (GGA-PBE) results for an optimized crystal structure of AlVOs3.

Values from the calculation:
- formation energy (eV/atom) = 1.45
- M_tot (μB/atom) = 0.071
- excess energy over the best structure of this formula in the dataset (eV/atom) = 0.000

abc: 4.367 4.367 4.367
angles: 90.00 90.00 90.00
Each line ends with the local moment (μB).
Fractional coordinates of all 5 atoms:
Os 0.000 0.500 0.000  -0.33
Os 0.500 0.000 0.000  -0.33
Os 0.000 0.000 0.500  -0.33
V 0.500 0.500 0.500  1.27
Al 0.000 0.000 0.000  0.00

***

# 7
DFT (GGA-PBE) results for an optimized crystal structure of Al3VOs.

Values from the calculation:
- formation energy (eV/atom) = 0.43
- M_tot (μB/atom) = 0.820
- excess energy over the best structure of this formula in the dataset (eV/atom) = 0.000

abc: 4.699 4.699 4.699
angles: 90.00 90.00 90.00
Each line ends with the local moment (μB).
Fractional coordinates of all 5 atoms:
V 0.500 0.500 0.500  3.07
Os 0.000 0.000 0.000  0.26
Al 0.500 0.000 0.000  -0.02
Al 0.000 0.000 0.500  -0.02
Al 0.000 0.500 0.000  -0.02

***

# 8
DFT (GGA-PBE) results for an optimized crystal structure of Al2VOs2.

Values from the calculation:
- formation energy (eV/atom) = -0.05
- M_tot (μB/atom) = 0.000
- excess energy over the best structure of this formula in the dataset (eV/atom) = 0.231

abc: 6.948 6.948 3.070
angles: 90.00 90.00 90.00
Fractional coordinates of all 10 atoms:
Os 0.648 0.148 0.000
Os 0.352 0.852 0.000
Os 0.852 0.648 0.000
Os 0.148 0.352 0.000
Al 0.151 0.651 0.500
Al 0.849 0.349 0.500
Al 0.349 0.151 0.500
Al 0.651 0.849 0.500
V 0.500 0.500 0.000
V 0.000 0.000 0.000

***

# 9
DFT (GGA-PBE) results for an optimized crystal structure of AlVOs3.

Values from the calculation:
- formation energy (eV/atom) = 1.51
- M_tot (μB/atom) = 0.000
- excess energy over the best structure of this formula in the dataset (eV/atom) = 0.058

abc: 4.466 4.466 4.466
angles: 90.00 90.00 90.00
Fractional coordinates of all 5 atoms:
Os 0.500 0.000 0.000
Os 0.000 0.000 0.500
Os 0.000 0.500 0.000
V 0.000 0.000 0.000
Al 0.500 0.500 0.500

***

# 10
DFT (GGA-PBE) results for an optimized crystal structure of AlV2Os2.

Values from the calculation:
- formation energy (eV/atom) = -0.39
- M_tot (μB/atom) = 0.000
- excess energy over the best structure of this formula in the dataset (eV/atom) = 0.000

abc: 3.025 4.239 10.838
angles: 90.00 98.00 90.00
Fractional coordinates of all 10 atoms:
V 0.246 0.750 0.491
V 0.754 0.250 0.509
V 0.949 0.250 0.898
V 0.051 0.750 0.102
Os 0.452 0.750 0.905
Os 0.649 0.750 0.298
Os 0.548 0.250 0.095
Os 0.351 0.250 0.702
Al 0.150 0.250 0.301
Al 0.850 0.750 0.699

***

# 11
DFT (GGA-PBE) results for an optimized crystal structure of Al3VOs4.

Values from the calculation:
- formation energy (eV/atom) = -0.41
- M_tot (μB/atom) = 0.000

abc: 3.018 3.018 12.085
angles: 90.00 90.00 90.00
Fractional coordinates of all 8 atoms:
Os 0.000 0.000 0.878
Os 0.000 0.000 0.122
Os 0.000 0.000 0.626
Os 0.000 0.000 0.374
V 0.500 0.500 0.000
Al 0.500 0.500 0.500
Al 0.500 0.500 0.254
Al 0.500 0.500 0.746

***

# 12
DFT (GGA-PBE) results for an optimized crystal structure of AlV6Os.

Values from the calculation:
- formation energy (eV/atom) = -0.23
- M_tot (μB/atom) = 0.000

abc: 4.234 5.228 5.228
angles: 109.54 90.00 90.00
Fractional coordinates of all 8 atoms:
V 0.000 0.618 0.382
V 0.500 0.875 0.125
V 0.500 0.872 0.620
V 0.000 0.638 0.891
V 0.500 0.380 0.128
V 0.000 0.109 0.362
Os 0.000 0.132 0.868
Al 0.500 0.376 0.624